NaPmSm2S4 | PBE | optimized geometry

Computed properties:
* E_form (uncorrected): -1.924 eV/atom

a b c (Å): 4.0106 6.9816 6.9844
angles (deg): 109.20 90.00 90.00
Last column: nearest neighbours and their distance in Å.
Positions (direct):
Pm 0.5000 0.5000 0.0000  6 S 2.85-2.86
S 0.0000 0.2483 0.7489  3 Sm 2.84-2.85, 1 Na 2.84, 2 Pm 2.86
S 0.5000 0.2529 0.2543  3 Sm 2.83-2.84, 1 Pm 2.85, 2 Na 2.87
S 0.5000 0.7471 0.7457  3 Sm 2.83-2.84, 1 Pm 2.85, 2 Na 2.87
S 0.0000 0.7517 0.2511  3 Sm 2.84-2.85, 1 Na 2.84, 2 Pm 2.86
Sm 0.5000 0.0000 0.5000  6 S 2.84
Sm 0.0000 0.5000 0.5000  6 S 2.83-2.85
Na 0.0000 0.0000 0.0000  6 S 2.84-2.87